1.
# TbCePa2As4

Crystalline TbCePa2As4 at its relaxed geometry (PBE, Alexandria).

```
8
Lattice="7.153 0.000 0.000 0.000 4.129 0.000 -2.383 0.000 6.754" Properties=species:S:1:pos:R:3 pbc="T T T"
Tb 0.000 0.000 0.000
Ce 3.576 2.064 0.000
Pa -1.191 2.064 3.377
Pa 2.385 0.000 3.377
As -0.016 0.000 5.022
As 1.177 2.064 1.725
As 3.593 2.064 5.029
As 4.787 0.000 1.732
```

The space group is P2/m (10). The calculated formation energy is -122 kJ/mol of atoms. The volume is 24.93 A^3/atom.

=====

2.
# Sr2MgAg2

Crystalline Sr2MgAg2 at its relaxed geometry (PBE, Alexandria).

```
10
Lattice="8.168 0.000 0.000 0.000 8.168 0.000 0.000 0.000 4.524" Properties=species:S:1:pos:R:3 pbc="T T T"
Sr 1.421 2.662 0.000
Sr 2.662 6.746 0.000
Sr 5.505 1.421 0.000
Sr 6.746 5.505 0.000
Mg 0.000 0.000 2.262
Mg 4.084 4.084 2.262
Ag 1.031 5.115 2.262
Ag 3.053 1.031 2.262
Ag 5.115 7.137 2.262
Ag 7.137 3.053 2.262
```

The space group is P4/mbm (127). The calculation puts the energy above the most stable polymorph in this dataset at 16 meV per atom. The calculated formation energy is -24 kJ/mol of atoms. The volume is 30.18 A^3/atom.

=====

Number 1: VASP energy -58.24 eV for the cell shown. Number 2: VASP energy -23.86 eV for the cell shown.